(1)
The following is a PBE calculation of LuPuHgRh after structural relaxation, from the Alexandria database.

Properties
D(E_F) = 42.3 states/eV/cell
uncorrected energy = -6.994 eV per atom
ΔE_f = -0.37 eV/atom

Cell: 7.112 7.112 7.112 Å, 90.00 90.00 90.00°
Space group F-43m (No. 216)
Inequivalent atoms, fractional coordinates:
Lu: 0.000 0.000 0.000
Pu: 0.000 0.000 0.500
Hg: 0.250 0.250 0.250
Rh: 0.250 0.250 0.750

(2)
The following is a PBE calculation of LuPuHgSb after structural relaxation, from the Alexandria database.

Properties
D(E_F) = 48.3 states/eV/cell
uncorrected energy = -6.245 eV per atom

Cell: 7.453 7.453 7.453 Å, 90.00 90.00 90.00°
Space group F-43m (No. 216)
Inequivalent atoms, fractional coordinates:
Lu: 0.000 0.000 0.000
Pu: 0.000 0.000 0.500
Hg: 0.250 0.250 0.750
Sb: 0.250 0.250 0.250

(3)
The following is a PBE calculation of LuPuSiHg after structural relaxation, from the Alexandria database.

Properties
D(E_F) = 39.6 states/eV/cell
uncorrected energy = -6.430 eV per atom

Cell: 7.193 7.193 7.193 Å, 90.00 90.00 90.00°
Space group F-43m (No. 216)
Inequivalent atoms, fractional coordinates:
Lu: 0.000 0.000 0.000
Pu: 0.000 0.000 0.500
Si: 0.250 0.250 0.250
Hg: 0.250 0.250 0.750